No. 1
Entry from Alexandria: NaV2OsO8 after structural relaxation (PBE+U).

Lattice parameters (Å, degrees): 5.0663 5.0663 6.6279 98.40 98.40 72.79
Last column: nearest neighbours and their distance in Å.
Fractional positions:
Na 0.0000 0.0000 0.0000  4 O 2.36
V 0.4191 0.4191 0.7711  4 O 1.70-1.82
V 0.5809 0.5809 0.2289  4 O 1.70-1.82
Os 0.0000 0.0000 0.5000  6 O 1.91-1.94
O 0.2148 0.7618 0.7061  1 V 1.82, 1 Os 1.94
O 0.2374 0.2374 0.5774  1 V 1.78, 1 Os 1.91
O 0.2382 0.7852 0.2939  1 V 1.82, 1 Os 1.94
O 0.3412 0.3412 0.9922  1 V 1.70
O 0.6588 0.6588 0.0078  1 V 1.70
O 0.7618 0.2148 0.7061  1 V 1.82, 1 Os 1.94
O 0.7626 0.7626 0.4226  1 V 1.78, 1 Os 1.91
O 0.7852 0.2382 0.2939  1 V 1.82, 1 Os 1.94

Output
Final energy, Ry per atom: -0.526
Volume, Å³/atom: 13.317


No. 2
Entry from Alexandria: NaVOsO6 after structural relaxation (PBE+U).

Lattice parameters (Å, degrees): 4.7559 4.7559 9.3965 90.00 90.00 90.00
Last column: nearest neighbours and their distance in Å.
Fractional positions:
Na 0.0000 0.0000 0.0000  6 O 2.19-2.42
Na 0.5000 0.5000 0.5000  6 O 2.19-2.42
V 0.0000 0.0000 0.6598  4 O 1.84-1.96
V 0.5000 0.5000 0.1598  4 O 1.84-1.96
Os 0.0000 0.0000 0.3344  4 O 1.81-1.89
Os 0.5000 0.5000 0.8344  4 O 1.81-1.89
O 0.1743 0.1743 0.4922  1 Os 1.89, 1 V 1.96
O 0.2308 0.2308 0.1923  1 V 1.84, 1 Os 2.05
O 0.2342 0.2342 0.8046  1 Os 1.81
O 0.2658 0.7342 0.3046  1 Os 1.81
O 0.2692 0.7308 0.6923  1 V 1.84, 1 Os 2.05
O 0.3257 0.6743 0.9922  1 Os 1.89, 1 V 1.96
O 0.6743 0.3257 0.9922  1 Os 1.89, 1 V 1.96
O 0.7308 0.2692 0.6923  1 V 1.84, 1 Os 2.05
O 0.7342 0.2658 0.3046  1 Os 1.81
O 0.7658 0.7658 0.8046  1 Os 1.81
O 0.7692 0.7692 0.1923  1 V 1.84, 1 Os 2.05
O 0.8257 0.8257 0.4922  1 Os 1.89, 1 V 1.96

Output
Final energy, Ry per atom: -0.509
Volume, Å³/atom: 11.808


No. 3
Entry from Alexandria: Na2OsWO6 after structural relaxation (PBE+U).

Lattice parameters (Å, degrees): 5.5527 5.5527 3.8953 90.00 90.00 90.00
Last column: nearest neighbours and their distance in Å.
Fractional positions:
Na 0.0000 0.5000 0.0000  12 O 2.77-2.78
Na 0.5000 0.0000 0.0000  12 O 2.77-2.78
Os 0.0000 0.0000 0.5000  6 O 1.95-2.00
W 0.5000 0.5000 0.5000  6 O 1.93-1.95
O 0.0000 0.0000 0.0000  2 Os 1.95
O 0.2542 0.2542 0.5000  1 W 1.93, 1 Os 2.00
O 0.2542 0.7458 0.5000  1 W 1.93, 1 Os 2.00
O 0.5000 0.5000 0.0000  2 W 1.95
O 0.7458 0.2542 0.5000  1 W 1.93, 1 Os 2.00
O 0.7458 0.7458 0.5000  1 W 1.93, 1 Os 2.00

Output
Final energy, Ry per atom: -0.494
Volume, Å³/atom: 12.010